Density functional theory data (GGA-PBE) for a relaxed BaBi3Pd3 crystal.

Lattice parameters (Å, degrees): 7.6062 7.6062 7.6062 90.00 90.00 90.00
With the nearest neighbours (Å) after each atom.
Space group Pm-3n (No. 223)
Inequivalent atoms, fractional coordinates:
Ba  0.0000  0.0000  0.0000  12 Bi 4.25, 12 Pd 4.25
Bi  0.0000  0.2500  0.5000  4 Pd 2.69
Pd  0.0000  0.5000  0.2500  4 Bi 2.69

Values from the calculation:
Its total energy is -62.53 eV/cell. For the energy relative to the elements, the calculation gives -0.3033 eV per atom. The calculation puts the energy above the most stable polymorph in this dataset at 0.007 eV/atom.


Density functional theory data (GGA-PBE) for a relaxed ThMg2Cd3 crystal.

Lattice parameters (Å, degrees): 3.5579 3.5579 11.1908 90.00 90.00 90.00
With the nearest neighbours (Å) after each atom.
Space group P4/mmm (No. 123)
Inequivalent atoms, fractional coordinates:
Th  0.0000  0.0000  0.0000  8 Cd 3.37, 4 Th 3.56
Mg  0.0000  0.0000  0.3482  8 Cd 3.01-3.04
Cd  0.5000  0.5000  0.2002  4 Mg 3.01, 1 Cd 3.36, 4 Th 3.37
Cd  0.5000  0.5000  0.5000  8 Mg 3.04, 2 Cd 3.36

Values from the calculation:
Its total energy is -14.12 eV/cell. For the energy relative to the elements, the calculation gives -0.1269 eV per atom.


Density functional theory data (GGA-PBE) for a relaxed Re4IrOs crystal.

Lattice parameters (Å, degrees): 7.2114 7.2114 7.2114 90.00 90.00 90.00
With the nearest neighbours (Å) after each atom.
Space group F-43m (No. 216)
Inequivalent atoms, fractional coordinates:
Re  0.1246  0.1246  0.1246  6 Re 2.54-2.56
Ir  0.2500  0.2500  0.7500  12 Re 2.99, 4 Os 3.12
Os  0.0000  0.0000  0.5000  12 Re 2.99, 4 Ir 3.12

Values from the calculation:
Its total energy is -266.98 eV/cell. For the energy relative to the elements, the calculation gives 0.5229 eV per atom. The calculation puts the energy above the most stable polymorph in this dataset at 0.396 eV/atom.